1.
Below is a geometry-optimized CsTl2RuCl8 structure, with properties calculated at the PBE level.

Results
The uncorrected formation energy comes out at -0.8894 eV per atom.

Cell: 6.188 7.257 9.392 Å, 90.02 90.07 114.63°
Positions (direct):
Cs 0.000 0.000 0.000
Tl 0.001 0.500 0.247
Tl 0.999 0.500 0.753
Ru 0.000 0.000 0.500
Cl 0.223 0.809 0.501
Cl 0.245 0.218 0.325
Cl 0.245 0.218 0.676
Cl 0.300 0.679 0.000
Cl 0.700 0.321 0.000
Cl 0.755 0.782 0.324
Cl 0.755 0.782 0.675
Cl 0.777 0.191 0.499

***

2.
Below is a geometry-optimized Ho3Zn4Cd structure, with properties calculated at the PBE level.

Results
For the total energy, the calculation gives -2.776 eV per atom.

Cell: 8.729 8.729 8.729 Å, 32.48 32.48 32.48°
Positions (direct):
Ho 0.000 0.000 0.000
Ho 0.244 0.244 0.244
Ho 0.756 0.756 0.756
Zn 0.124 0.124 0.124
Zn 0.371 0.371 0.371
Zn 0.629 0.629 0.629
Zn 0.876 0.876 0.876
Cd 0.500 0.500 0.500

***

3.
Below is a geometry-optimized NaCaAgGe structure, with properties calculated at the PBE level.

Results
For the total energy, the calculation gives -2.943 eV per atom.

Cell: 4.940 4.940 4.940 Å, 60.00 60.00 60.00°
Positions (direct):
Na 0.000 0.000 0.000
Ca 0.250 0.250 0.250
Ag 0.750 0.750 0.750
Ge 0.500 0.500 0.500

***

4.
Below is a geometry-optimized MgTc2SbTe structure, with properties calculated at the PBE level.

Results
The uncorrected formation energy comes out at 1.5757 eV per atom.

Cell: 4.903 4.903 4.982 Å, 90.00 90.00 90.00°
Positions (direct):
Mg 0.000 0.000 0.000
Tc 0.000 0.500 0.000
Tc 0.500 0.000 0.000
Sb 0.000 0.000 0.500
Te 0.500 0.500 0.500